Below is crystalline PmHgI3 at its relaxed geometry, with properties calculated at the PBE level.

Lattice parameters (Å, degrees): 8.3287 8.3287 10.0028 65.40 65.40 60.00
Positions (direct):
1 I 0.4257 0.4229 0.2278
2 I 0.0765 0.5771 0.7722
3 I 0.5743 0.0765 0.7722
4 I 0.9235 0.4257 0.2278
5 I 0.5771 0.5743 0.7722
6 I 0.4229 0.9235 0.2278
7 Hg 0.1231 0.1231 0.6306
8 Hg 0.8769 0.8769 0.3694
9 Pm 0.6670 0.6670 0.9991
10 Pm 0.3330 0.3330 0.0009

## Properties
Crystal system ... trigonal
Energy relative to the elements, uncorrected ... -1081 meV per atom
D(E_F) ... 0.0 states/eV/f.u.
E_tot ... -3.022 eV/atom